A geometry-optimized FePO2F structure. Source: Alexandria, functional PBE+U.

Cell and atoms, written as POSCAR:
```
FePO2F
1.0
3.697 0.000 0.000
0.000 3.697 0.000
0.000 0.000 4.213
P Fe O F
1 1 2 1
direct
0.000 0.000 0.000
0.500 0.500 0.500
0.000 0.500 0.000
0.500 0.000 0.000
0.000 0.000 0.500
```

Calculated density: 3974 kg/m³
Total energy: -5.3143 eV/atom
Crystal system: tetragonal
Density of states at the Fermi level: 2.2 states/eV/f.u.

***

A geometry-optimized PaFe2O4F2 structure. Source: Alexandria, functional PBE+U.

Cell and atoms, written as POSCAR:
```
PaFe2O4F2
1.0
-3.586 -1.234 -0.103
3.701 -4.674 -2.959
-0.299 0.423 5.325
Pa Fe O F
1 2 4 2
direct
0.000 0.000 0.000
0.353 0.705 0.280
0.647 0.295 0.720
0.833 0.666 0.003
0.167 0.334 0.997
0.511 0.021 0.261
0.489 0.979 0.739
0.833 0.667 0.484
0.167 0.333 0.516
```

Calculated density: 6838 kg/m³
Total energy: -7.4354 eV/atom
Crystal system: monoclinic
Density of states at the Fermi level: 0.7 states/eV/f.u.

***

A geometry-optimized FePbOF2 structure. Source: Alexandria, functional PBE+U.

Cell and atoms, written as POSCAR:
```
FePbOF2
1.0
-3.293 0.327 3.219
-2.937 -2.229 -2.778
1.279 -3.796 1.693
Pb Fe O F
1 1 1 2
direct
0.000 0.000 0.000
0.500 0.500 0.500
0.000 0.000 0.500
0.000 0.500 0.000
0.500 0.000 0.000
```

Polymorph energy (0 for the lowest one): 21.87 kcal/mol of atoms
Calculated density: 5682 kg/m³
Total energy: -4.5285 eV/atom
Crystal system: tetragonal
Density of states at the Fermi level: 1.0 states/eV/f.u.

***

A geometry-optimized FePbOF2 structure. Source: Alexandria, functional PBE+U.

Cell and atoms, written as POSCAR:
```
FePbOF2
1.0
-0.275 -2.527 -5.253
-1.907 -4.932 2.471
-2.829 5.034 0.969
Fe Pb O F
2 2 2 4
direct
0.000 0.000 0.000
0.500 0.500 0.000
0.750 0.250 0.500
0.250 0.750 0.500
0.750 0.750 0.500
0.250 0.250 0.500
0.324 0.824 0.000
0.823 0.677 0.000
0.677 0.177 0.000
0.177 0.323 0.000
```

Polymorph energy (0 for the lowest one): 0.00 kcal/mol of atoms
Calculated density: 7443 kg/m³
Total energy: -5.4766 eV/atom
Crystal system: tetragonal
Density of states at the Fermi level: 0.0 states/eV/f.u.

***

A geometry-optimized PrFeO2F structure. Source: Alexandria, functional PBE+U.

Cell and atoms, written as POSCAR:
```
PrFeO2F
1.0
3.733 0.000 0.000
-1.867 6.161 0.000
0.000 0.000 6.394
Pr Fe O F
2 2 4 2
direct
0.710 0.420 0.750
0.290 0.580 0.250
0.000 0.000 0.000
0.000 0.000 0.500
0.156 0.313 0.980
0.844 0.687 0.020
0.156 0.313 0.520
0.844 0.687 0.480
0.506 0.012 0.750
0.494 0.988 0.250
```

Calculated density: 5595 kg/m³
Total energy: -7.1399 eV/atom
Crystal system: orthorhombic
Density of states at the Fermi level: 0.0 states/eV/f.u.

***

A geometry-optimized FePtO2F structure. Source: Alexandria, functional PBE+U.

Cell and atoms, written as POSCAR:
```
FePtO2F
1.0
3.989 0.000 0.000
0.000 3.989 0.000
0.000 0.000 3.769
O Fe Pt F
2 1 1 1
direct
0.000 0.500 0.000
0.500 0.000 0.000
0.000 0.000 0.000
0.500 0.500 0.500
0.000 0.000 0.500
```

Calculated density: 8359 kg/m³
Total energy: -5.0889 eV/atom
Crystal system: tetragonal
Density of states at the Fermi level: 3.8 states/eV/f.u.

***

A geometry-optimized FePtO2F structure. Source: Alexandria, functional PBE+U.

Cell and atoms, written as POSCAR:
```
FePtO2F
1.0
-1.699 3.080 1.901
-3.212 -0.315 -2.361
-1.782 -2.701 2.784
O Fe Pt F
2 1 1 1
direct
0.000 0.500 0.000
0.500 0.000 0.000
0.500 0.500 0.500
0.000 0.000 0.000
0.000 0.000 0.500
```

Calculated density: 7346 kg/m³
Total energy: -4.9137 eV/atom
Crystal system: tetragonal
Density of states at the Fermi level: 4.5 states/eV/f.u.

***

A geometry-optimized RbFeO2F structure. Source: Alexandria, functional PBE+U.

Cell and atoms, written as POSCAR:
```
RbFeO2F
1.0
3.860 0.000 0.000
0.000 3.860 0.000
0.000 0.000 4.554
O Fe Rb F
2 1 1 1
direct
0.000 0.500 0.000
0.500 0.000 0.000
0.000 0.000 0.000
0.500 0.500 0.500
0.000 0.000 0.500
```

Calculated density: 4708 kg/m³
Total energy: -5.2196 eV/atom
Crystal system: tetragonal
Density of states at the Fermi level: 1.3 states/eV/f.u.

***

A geometry-optimized RbFeOF2 structure. Source: Alexandria, functional PBE+U.

Cell and atoms, written as POSCAR:
```
RbFeOF2
1.0
4.830 0.000 0.000
0.000 4.830 0.000
0.000 0.000 4.403
O Fe Rb F
1 1 1 2
direct
0.000 0.000 0.500
0.500 0.500 0.500
0.000 0.000 0.000
0.000 0.500 0.000
0.500 0.000 0.000
```

Polymorph energy (0 for the lowest one): 42.03 kcal/mol of atoms
Calculated density: 3157 kg/m³
Total energy: -3.3815 eV/atom
Crystal system: tetragonal
Density of states at the Fermi level: 0.8 states/eV/f.u.

***

A geometry-optimized Rb2FeOF6 structure. Source: Alexandria, functional PBE+U.

Cell and atoms, written as POSCAR:
```
Rb2FeOF6
1.0
6.064 0.000 0.000
0.000 6.064 0.000
3.032 3.032 4.309
O Fe Rb F
1 1 2 6
direct
0.500 0.500 0.000
0.000 0.000 0.000
0.750 0.250 0.500
0.250 0.750 0.500
0.228 0.228 0.543
0.772 0.772 0.457
0.229 0.229 0.000
0.771 0.771 0.000
0.771 0.229 0.000
0.229 0.771 0.000
```

Calculated density: 3738 kg/m³
Total energy: -4.2970 eV/atom
Crystal system: tetragonal
Density of states at the Fermi level: 0.0 states/eV/f.u.